Compound: ErAgC2O8
Source: Alexandria via LeMat-Bulk
Functional: PBE
Structure: relaxed

a b c (Å): 5.180 5.180 6.688
angles (deg): 90.00 90.00 120.00
Atoms (fractional coordinates):
Er: 0.000 0.000 0.000
Ag: 0.000 0.000 0.500
C: 0.667 0.333 0.277
C: 0.333 0.667 0.723
O: 0.812 0.188 0.213
O: 0.812 0.624 0.213
O: 0.376 0.188 0.213
O: 0.624 0.812 0.787
O: 0.333 0.667 0.517
O: 0.667 0.333 0.483
O: 0.188 0.812 0.787
O: 0.188 0.376 0.787

Computed properties:
calculated volume	13.0	Å³ per atom
formation energy from raw total energies	-12.63	eV/f.u.
magnetization	4.0	μB/f.u.

Compound: Be2V3Co8
Source: Alexandria via LeMat-Bulk
Functional: PBE
Structure: relaxed

a b c (Å): 4.578 4.578 8.640
angles (deg): 74.64 74.64 60.00
Atoms (fractional coordinates):
Be: 0.637 0.637 0.090
Be: 0.363 0.363 0.910
V: 0.000 0.000 0.000
V: 0.814 0.814 0.559
V: 0.186 0.186 0.441
Co: 0.720 0.720 0.840
Co: 0.280 0.280 0.160
Co: 0.234 0.731 0.304
Co: 0.731 0.234 0.304
Co: 0.731 0.731 0.304
Co: 0.269 0.766 0.696
Co: 0.766 0.269 0.696
Co: 0.269 0.269 0.696

Computed properties:
calculated volume	11.5	Å³ per atom
magnetization	3.8	μB/f.u.
formation energy from the elements	0.125	eV/atom

Compound: Sm6SbAs4
Source: Alexandria via LeMat-Bulk
Functional: PBE
Structure: relaxed

a b c (Å): 4.245 7.243 21.212
angles (deg): 90.00 90.00 107.04
Atoms (fractional coordinates):
Sm: 0.500 0.000 0.000
Sm: 0.500 0.000 0.500
Sm: 0.041 0.082 0.339
Sm: 0.959 0.918 0.661
Sm: 0.959 0.918 0.839
Sm: 0.041 0.082 0.161
Sm: 0.772 0.545 0.418
Sm: 0.228 0.455 0.582
Sm: 0.228 0.455 0.918
Sm: 0.772 0.545 0.082
Sm: 0.328 0.655 0.250
Sm: 0.672 0.345 0.750
Sb: 0.662 0.323 0.250
Sb: 0.338 0.677 0.750
As: 0.863 0.726 0.542
As: 0.408 0.815 0.126
As: 0.137 0.274 0.458
As: 0.592 0.185 0.874
As: 0.863 0.726 0.958
As: 0.137 0.274 0.042
As: 0.592 0.185 0.626
As: 0.408 0.815 0.374

Computed properties:
calculated volume	28.3	Å³ per atom
formation energy from raw total energies	-14.76	eV/f.u.
magnetization	0.5	μB/f.u.

Compound: Zr4Zn5
Source: Alexandria via LeMat-Bulk
Functional: PBE
Structure: relaxed

a b c (Å): 6.760 6.760 6.760
angles (deg): 95.16 95.16 145.08
Atoms (fractional coordinates):
Zr: 0.000 0.680 0.680
Zr: 0.000 0.320 0.320
Zr: 0.680 0.000 0.680
Zr: 0.320 0.000 0.320
Zn: 0.000 0.000 0.000
Zn: 0.664 0.664 0.328
Zn: 0.336 0.336 0.672
Zn: 0.664 0.336 0.000
Zn: 0.336 0.664 0.000

Computed properties:
calculated volume	18.7	Å³ per atom
magnetization	0.0	μB/f.u.
formation energy from the elements	-0.178	eV/atom